# NiIr2Ru | Alexandria | PBE-GGA | relaxed
data_NiIr2Ru
_chemical_formula_sum 'Ni1 Ir2 Ru1'
_space_group_name_H-M_alt 'P 4 m m'
_space_group_IT_number 99
_cell_length_a 2.715
_cell_length_b 2.715
_cell_length_c 7.356
_cell_angle_alpha 90.00
_cell_angle_beta 90.00
_cell_angle_gamma 90.00
loop_
_space_group_symop_operation_xyz
'x,y,z'
'-y,x,z'
'-x,-y,z'
'y,-x,z'
'-x,y,z'
'y,x,z'
'x,-y,z'
'-y,-x,z'
loop_
_atom_site_label
_atom_site_type_symbol
_atom_site_fract_x
_atom_site_fract_y
_atom_site_fract_z
Ni1 Ni 0.000 0.000 0.000
Ir1 Ir 0.000 0.000 0.495
Ir2 Ir 0.500 0.500 0.760
Ru1 Ru 0.500 0.500 0.239
# **Size of the total moment**: 0.00 Bohr magnetons per cell
# **Formation energy**: 0.055 eV/atom
# **Offset from the most stable computed form**: 0.066 eV per atom

=====

# TaSi2 | Alexandria | PBE-GGA | relaxed
data_TaSi2
_chemical_formula_sum 'Ta3 Si6'
_space_group_name_H-M_alt 'P 64 2 2'
_space_group_IT_number 181
_space_group_name_Hall 'P 64 2 (0 0 2)'
_cell_length_a 4.8018
_cell_length_b 4.8018
_cell_length_c 6.6046
_cell_angle_alpha 90.00
_cell_angle_beta 90.00
_cell_angle_gamma 120.00
loop_
_atom_site_label
_atom_site_type_symbol
_atom_site_fract_x
_atom_site_fract_y
_atom_site_fract_z
Ta1 Ta 0.0000 0.5000 0.3333
Si1 Si 0.1592 0.3183 0.0000
# **Size of the total moment**: 0.00 Bohr magnetons per cell

=====

Number 1: E_tot -8.14 eV per atom. Number 2: E_tot -8.04 eV per atom.